Li3MnVP3O12: optimized geometry, GGA+U.

a = 8.6896 Å, b = 8.6896 Å, c = 9.5004 Å
α = 59.14°, β = 59.14°, γ = 58.10°
Site moments in Bohr magnetons follow the coordinates.
Fractional coordinates of all 40 atoms:
Li  0.9194  0.7587  0.6657  0.00
Li  0.3153  0.0437  0.7103  0.00
Li  0.7587  0.9194  0.1657  0.00
Li  0.4199  0.6228  0.7566  0.00
Li  0.6228  0.4199  0.2566  0.00
Li  0.0437  0.3153  0.2103  0.00
Mn  0.8460  0.3820  0.8127  3.90
Mn  0.3820  0.8460  0.3127  3.90
V  0.6334  0.1491  0.6558  1.90
V  0.1491  0.6334  0.1558  1.90
P  0.5352  0.7440  0.9503  0.01
P  0.7440  0.5352  0.4503  0.01
P  0.9444  0.0302  0.2931  0.01
P  0.2551  0.4728  0.5109  0.01
P  0.0302  0.9444  0.7931  0.01
P  0.4728  0.2551  0.0109  0.01
O  0.7402  0.6156  0.8636  -0.02
O  0.3793  0.6997  0.9581  0.00
O  0.7042  0.5258  0.6306  0.04
O  0.6997  0.3793  0.4581  0.00
O  0.5063  0.9535  0.8276  -0.01
O  0.8701  0.2370  0.1752  -0.01
O  0.9535  0.5063  0.3276  -0.01
O  0.0185  0.1351  0.7888  -0.02
O  0.8766  0.9825  0.7309  0.00
O  0.6156  0.7402  0.3636  -0.02
O  0.2370  0.8701  0.6752  -0.01
O  0.4904  0.2878  0.8286  -0.01
O  0.5258  0.7042  0.1306  0.04
O  0.8036  0.9941  0.4845  -0.01
O  0.3966  0.2711  0.5824  -0.01
O  0.1351  0.0185  0.2888  -0.02
O  0.9825  0.8766  0.2309  0.00
O  0.0477  0.4947  0.6393  -0.02
O  0.9941  0.8036  0.9845  -0.01
O  0.4947  0.0477  0.1393  -0.02
O  0.2903  0.6382  0.4996  -0.03
O  0.2878  0.4904  0.3286  -0.01
O  0.6382  0.2903  0.9996  -0.03
O  0.2711  0.3966  0.0824  -0.01

Summary:
- energy (eV/atom) = -7.02
- crystal system = monoclinic